1.
A crystal of MoSe relaxed with PBEsol. Source: Alexandria via LeMat-Bulk, functional meta-GGA SCAN.

a = 4.268 Å, b = 4.268 Å, c = 4.268 Å
α = 41.90°, β = 41.90°, γ = 41.90°
Fractional coordinates of all 2 atoms:
Mo 0.000 0.000 0.000
Se 0.500 0.500 0.500

Values from the calculation:
**Energy**: -2.0040 Ry/atom
**Symmetry**: No. 166
**Crystal system**: trigonal
**Energy above the lowest structure with this stoichiometry**: 0 meV per atom

=====

2.
A crystal of TlRh2Br relaxed with PBEsol. Source: Alexandria via LeMat-Bulk, functional meta-GGA SCAN.

a = 8.178 Å, b = 8.178 Å, c = 8.178 Å
α = 22.39°, β = 22.39°, γ = 22.39°
Fractional coordinates of all 4 atoms:
Tl 0.000 0.000 0.000
Rh 0.247 0.247 0.247
Rh 0.753 0.753 0.753
Br 0.500 0.500 0.500

Values from the calculation:
**Energy**: -2.8989 Ry/atom
**Symmetry**: No. 166
**Crystal system**: trigonal

=====

3.
A crystal of NaTe2RuN relaxed with PBEsol. Source: Alexandria via LeMat-Bulk, functional meta-GGA SCAN.

a = 5.272 Å, b = 5.272 Å, c = 3.891 Å
α = 90.00°, β = 90.00°, γ = 90.00°
Fractional coordinates of all 5 atoms:
Na 0.000 0.000 0.000
Te 0.000 0.500 0.000
Te 0.500 0.000 0.000
Ru 0.500 0.500 0.500
N 0.000 0.000 0.500

Values from the calculation:
**Energy**: -1.6816 Ry/atom
**Symmetry**: No. 123
**Crystal system**: tetragonal
**Energy above the lowest structure with this stoichiometry**: 1742 meV per atom

=====

4.
A crystal of HfGaBr2 relaxed with PBEsol. Source: Alexandria via LeMat-Bulk, functional meta-GGA SCAN.

a = 10.154 Å, b = 10.154 Å, c = 10.154 Å
α = 18.73°, β = 18.73°, γ = 18.73°
Fractional coordinates of all 4 atoms:
Hf 0.000 0.000 0.000
Ga 0.500 0.500 0.500
Br 0.398 0.398 0.398
Br 0.602 0.602 0.602

Values from the calculation:
**Energy**: -2.2094 Ry/atom
**Symmetry**: No. 166
**Crystal system**: trigonal

=====

5.
A crystal of YInTc2 relaxed with PBEsol. Source: Alexandria via LeMat-Bulk, functional meta-GGA SCAN.

a = 5.566 Å, b = 5.566 Å, c = 5.566 Å
α = 145.47°, β = 130.74°, γ = 61.54°
Fractional coordinates of all 4 atoms:
Y 0.000 0.000 0.000
In 0.281 0.781 0.500
Tc 0.535 0.535 0.000
Tc 0.736 0.236 0.500

Values from the calculation:
**Energy**: -2.4122 Ry/atom
**ΔH_f (0 K)**: 0.02 eV/atom
**Symmetry**: No. 44
**Crystal system**: orthorhombic

=====

6.
A crystal of CeYIn6 relaxed with PBEsol. Source: Alexandria via LeMat-Bulk, functional meta-GGA SCAN.

a = 4.584 Å, b = 4.584 Å, c = 9.144 Å
α = 90.00°, β = 90.00°, γ = 90.00°
Fractional coordinates of all 8 atoms:
Ce 0.000 0.000 0.000
Y 0.000 0.000 0.500
In 0.000 0.500 0.252
In 0.000 0.500 0.748
In 0.500 0.000 0.252
In 0.500 0.000 0.748
In 0.500 0.500 0.000
In 0.500 0.500 0.500

Values from the calculation:
**Energy**: -2.5456 Ry/atom
**ΔH_f (0 K)**: -0.54 eV/atom
**Symmetry**: No. 123
**Crystal system**: tetragonal

=====

7.
A crystal of KZrBe2 relaxed with PBEsol. Source: Alexandria via LeMat-Bulk, functional meta-GGA SCAN.

a = 2.908 Å, b = 2.908 Å, c = 8.896 Å
α = 90.00°, β = 90.00°, γ = 90.00°
Fractional coordinates of all 4 atoms:
K 0.000 0.000 0.000
Zr 0.500 0.500 0.392
Be 0.000 0.000 0.599
Be 0.500 0.500 0.696

Values from the calculation:
**Energy**: -0.8365 Ry/atom
**ΔH_f (0 K)**: 0.55 eV/atom
**Symmetry**: No. 99
**Crystal system**: tetragonal
**Energy above the lowest structure with this stoichiometry**: 116 meV per atom

=====

8.
A crystal of Co3Au relaxed with PBEsol. Source: Alexandria via LeMat-Bulk, functional meta-GGA SCAN.

a = 4.445 Å, b = 4.445 Å, c = 4.445 Å
α = 131.53°, β = 131.53°, γ = 70.97°
Fractional coordinates of all 4 atoms:
Co 0.000 0.000 0.000
Co 0.250 0.750 0.500
Co 0.750 0.250 0.500
Au 0.500 0.500 0.000

Values from the calculation:
**Energy**: -2.2178 Ry/atom
**ΔH_f (0 K)**: 0.09 eV/atom
**Symmetry**: No. 139
**Crystal system**: tetragonal

=====

Computed magnetization (Bohr magnetons per cell) in order:
0.00 0.00 5.12 0.00 0.01 1.05 0.52 5.66